1.
Entry from the Alexandria database: crystalline SrCdH2 at its relaxed geometry (PBE-GGA).

Unit cell a=6.452 b=6.452 c=6.452 alpha=90.00 beta=90.00 gamma=90.00
Space group Fm-3m (No. 225)
Inequivalent atoms, fractional coordinates:
Sr1 0.000 0.000 0.000 (multiplicity 4)
Cd1 0.000 0.000 0.500 (multiplicity 4)
H1 0.250 0.250 0.250 (multiplicity 8)

ΔE to the lowest computed polymorph: 0 meV per atom

---

2.
Entry from the Alexandria database: crystalline Tl7Pb2 at its relaxed geometry (PBE-GGA).

Unit cell a=9.7370 b=9.7370 c=3.4012 alpha=90.00 beta=90.00 gamma=120.00
Space group P-62m (No. 189)
Inequivalent atoms, fractional coordinates:
Tl1 0.0000 0.0000 0.0000 (multiplicity 1)
Tl2 0.0000 0.3133 0.5000 (multiplicity 3)
Tl3 0.0000 0.6488 0.0000 (multiplicity 3)
Pb1 0.3333 0.6667 0.5000 (multiplicity 2)

Formation enthalpy at 0 K: 0.011 eV per atom
ΔE to the lowest computed polymorph: 13 meV per atom

---

3.
Entry from the Alexandria database: crystalline RuPbNO2 at its relaxed geometry (PBE-GGA).

Unit cell a=4.107 b=4.107 c=3.788 alpha=90.00 beta=90.00 gamma=90.00
Space group P4/mmm (No. 123)
Inequivalent atoms, fractional coordinates:
Ru1 0.000 0.000 0.000 (multiplicity 1)
Pb1 0.500 0.500 0.500 (multiplicity 1)
N1 0.000 0.000 0.500 (multiplicity 1)
O1 0.000 0.500 0.000 (multiplicity 2)

E_form (uncorrected): -324 meV per atom

---

4.
Entry from the Alexandria database: crystalline K2TlHgF at its relaxed geometry (PBE-GGA).

Unit cell a=5.159 b=5.159 c=5.812 alpha=90.00 beta=90.00 gamma=90.00
Space group P4/mmm (No. 123)
Inequivalent atoms, fractional coordinates:
K1 0.000 0.500 0.000 (multiplicity 2)
Tl1 0.000 0.000 0.500 (multiplicity 1)
Hg1 0.500 0.500 0.500 (multiplicity 1)
F1 0.000 0.000 0.000 (multiplicity 1)

E_form (uncorrected): -1009 meV per atom

---

5.
Entry from the Alexandria database: crystalline Ag4Ir5 at its relaxed geometry (PBE-GGA).

Unit cell a=8.447 b=8.447 c=4.012 alpha=90.00 beta=90.00 gamma=90.00
Space group I4/mmm (No. 139)
Inequivalent atoms, fractional coordinates:
Ag1 0.000 0.332 0.000 (multiplicity 8)
Ir1 0.000 0.000 0.000 (multiplicity 2)
Ir2 0.156 0.156 0.500 (multiplicity 8)

Formation enthalpy at 0 K: 0.455 eV per atom

---

6.
Entry from the Alexandria database: crystalline SmY2TmSc4 at its relaxed geometry (PBE-GGA).

Unit cell a=4.900 b=4.900 c=9.359 alpha=90.00 beta=90.00 gamma=90.00
Space group P4/mmm (No. 123)
Inequivalent atoms, fractional coordinates:
Sm1 0.000 0.000 0.000 (multiplicity 1)
Y1 0.000 0.000 0.500 (multiplicity 1)
Y2 0.500 0.500 0.000 (multiplicity 1)
Tm1 0.500 0.500 0.500 (multiplicity 1)
Sc1 0.000 0.500 0.252 (multiplicity 4)

Formation enthalpy at 0 K: 0.059 eV per atom

---

Fermi-level density of states values (in states/eV/f.u.) by entry order: 0.7, 2.9, 3.5, 3.2, 11.1, 14.6.